A plane-wave DFT calculation with GGA-PBE was carried out for crystalline ErZrBe2 at its relaxed geometry.

The formation energy is 47.0 meV per atom. Its crystal system is cubic. As for the density: 6.628 g/cm3. The spin magnetization comes out at 0.000 μB/f.u. For the relative energy among the computed polymorphs, the calculation gives 54 meV per atom.

The space group is Fm-3m (No. 225) and the conventional cell measures 6.5196, 6.5196 and 6.5196 Å, with angles of 90.00, 90.00 and 90.00 degrees. The inequivalent atoms are Er at (0.0000, 0.0000, 0.0000), Zr at (0.0000, 0.0000, 0.5000) and Be at (0.2500, 0.2500, 0.2500).